Entry 1:
Th8Te4PtSe3 | GGA-PBE | optimized geometry

Structure (POSCAR):
```
Th8Te4PtSe3
1.0
-6.0394 -4.7103 3.8184
6.2315 -5.5723 2.9823
0.7098 8.3332 1.8118
Th Se Te Pt
8 3 4 1
Direct
0.2373 0.7204 0.9831 Th
0.2589 0.2772 0.5178 Th
0.7459 0.7204 0.9831 Th
0.7411 0.7228 0.4822 Th
0.7627 0.2796 0.0169 Th
0.2366 0.7198 0.4731 Th
0.7634 0.2802 0.5269 Th
0.2541 0.2796 0.0169 Th
0.0000 0.5000 0.5000 Se
0.5000 0.5000 0.0000 Se
0.5000 0.5000 0.5000 Se
0.0000 0.0000 0.5000 Te
0.5000 0.0000 0.0000 Te
0.0000 0.0000 0.0000 Te
0.5000 0.0000 0.5000 Te
0.0000 0.5000 0.0000 Pt
```

Calculated values
E_form (uncorrected) (meV per atom): -1278
SG: R-3m, No. 166
Total energy (eV per atom): -6.8039

Entry 2:
Th6TePt2Se3 | GGA-PBE | optimized geometry

Structure (POSCAR):
```
Th6TePt2Se3
1.0
4.1739 0.0000 0.0000
0.0000 8.7802 0.4037
-2.0869 -2.4313 9.0293
Se Th Te Pt
3 6 1 2
Direct
0.5000 0.5000 0.0000 Se
0.1622 0.8308 0.3244 Se
0.8378 0.1692 0.6756 Se
0.6702 0.5662 0.3405 Th
0.3266 0.8981 0.6532 Th
0.3298 0.4338 0.6595 Th
0.6734 0.1019 0.3468 Th
0.9954 0.7312 0.9908 Th
0.0046 0.2688 0.0092 Th
0.5000 0.0000 0.0000 Te
0.1667 0.3295 0.3334 Pt
0.8333 0.6705 0.6666 Pt
```

Calculated values
E_form (uncorrected) (meV per atom): -1327
SG: C2/m, No. 12
Total energy (eV per atom): -7.1770

Entry 3:
Tm8Te4Pt3Se | GGA-PBE | optimized geometry

Structure (POSCAR):
```
Tm8Te4Pt3Se
1.0
8.2949 0.0000 0.0000
0.0000 8.5795 0.1946
-4.1475 -4.1402 5.8681
Tm Te Se Pt
8 4 1 3
Direct
0.2758 0.2859 0.0307 Tm
0.2647 0.2946 0.5294 Tm
0.2446 0.7137 0.4892 Tm
0.7554 0.2863 0.5108 Tm
0.2451 0.7141 0.9693 Tm
0.7242 0.7141 0.9693 Tm
0.7549 0.2859 0.0307 Tm
0.7353 0.7054 0.4706 Tm
0.5000 0.0000 0.0000 Te
0.0000 0.0000 0.5000 Te
0.0000 0.0000 0.0000 Te
0.5000 0.0000 0.5000 Te
0.0000 0.5000 0.0000 Se
0.5000 0.5000 0.0000 Pt
0.0000 0.5000 0.5000 Pt
0.5000 0.5000 0.5000 Pt
```

Calculated values
E_form (uncorrected) (meV per atom): -1318
SG: R-3m, No. 166
Total energy (eV per atom): -5.6893